Crystalline BaPuMn2O8 at its relaxed geometry. Source: Alexandria, functional PBE with a Hubbard U.

Cell lengths 5.7504, 5.7504, 7.4887 Å; angles 90.00, 90.00, 120.00 degrees
Space group P-3m1 (No. 164)
Inequivalent atoms, fractional coordinates:
Ba 0.0000 0.0000 0.0000 x1
Pu 0.0000 0.0000 0.5000 x1
Mn 0.3333 0.6667 0.2462 x2
O 0.1609 0.3219 0.3208 x6
O 0.3333 0.6667 0.0214 x2

Density of states at the Fermi level (states/eV per cell): 4.8
M_tot (μB/cell): 8.0
Crystal system: trigonal
E (eV/atom): -7.730